The following is a DFT calculation (GGA+U) of an optimized crystal structure of Co3O4.

Output
magnetic moment	0.42	μB per atom
total DFT energy (no corrections)	-6.08	eV/atom
space-group type	Fd-3m

abc: 5.705 5.705 5.705
angles: 120.00 90.00 120.00
Element x y z (fractional)
Co 0.500 0.000 0.000
Co 0.875 0.750 0.125
Co 0.000 0.500 0.500
Co 0.500 0.500 0.500
Co 0.500 0.000 0.500
Co 0.125 0.250 0.875
O 0.290 0.027 0.263
O 0.737 0.027 0.263
O 0.737 0.473 0.263
O 0.263 0.527 0.290
O 0.737 0.473 0.710
O 0.263 0.527 0.737
O 0.263 0.973 0.737
O 0.710 0.973 0.737